[1]
Here is a relaxed structure of HfTh5 from Alexandria via LeMat-Bulk. Energies are from PBE.

Summary:
The electronic total energy comes out at -7.762 eV per atom. The formation energy comes out at 0.08 eV per atom. The calculated density comes out at 12.19 g/cm³.

a b c (Å): 7.870 7.870 4.928
angles (deg): 90.00 90.00 143.29
Sites, in units of the cell vectors:
Hf 0.000 0.000 0.000
Th 0.161 0.839 0.500
Th 0.335 0.665 0.000
Th 0.500 0.500 0.500
Th 0.665 0.335 0.000
Th 0.839 0.161 0.500



[2]
Here is a relaxed structure of HfTh3 from Alexandria via LeMat-Bulk. Energies are from PBE.

Summary:
The electronic total energy comes out at -7.946 eV per atom. The formation energy comes out at 0.11 eV per atom. The calculated density comes out at 12.25 g/cm³.

a b c (Å): 6.033 6.033 6.033
angles (deg): 132.09 132.09 70.09
Sites, in units of the cell vectors:
Hf 0.000 0.000 0.000
Th 0.250 0.750 0.500
Th 0.500 0.500 0.000
Th 0.750 0.250 0.500



[3]
Here is a relaxed structure of HfTh3 from Alexandria via LeMat-Bulk. Energies are from PBE.

Summary:
The electronic total energy comes out at -7.830 eV per atom. The formation energy comes out at 0.22 eV per atom. The calculated density comes out at 12.29 g/cm³.

a b c (Å): 5.508 5.508 5.508
angles (deg): 60.00 60.00 60.00
Sites, in units of the cell vectors:
Hf 0.000 0.000 0.000
Th 0.250 0.250 0.250
Th 0.500 0.500 0.500
Th 0.750 0.750 0.750



[4]
Here is a relaxed structure of Hf5Th from Alexandria via LeMat-Bulk. Energies are from PBE.

Summary:
The electronic total energy comes out at -9.440 eV per atom. The formation energy comes out at 0.09 eV per atom. The calculated density comes out at 13.07 g/cm³.

a b c (Å): 7.273 7.273 4.541
angles (deg): 90.00 90.00 143.50
Sites, in units of the cell vectors:
Hf 0.000 0.000 0.000
Hf 0.172 0.828 0.500
Hf 0.328 0.672 0.000
Hf 0.672 0.328 0.000
Hf 0.828 0.172 0.500
Th 0.500 0.500 0.500



[5]
Here is a relaxed structure of HfTh3 from Alexandria via LeMat-Bulk. Energies are from PBE.

Summary:
The electronic total energy comes out at -7.745 eV per atom. The formation energy comes out at 0.31 eV per atom. The calculated density comes out at 11.85 g/cm³.

a b c (Å): 3.339 3.358 10.934
angles (deg): 90.00 90.00 90.00
Sites, in units of the cell vectors:
Hf 0.000 0.000 0.000
Th 0.000 0.500 0.260
Th 0.500 0.000 0.507
Th 0.500 0.500 0.784



[6]
Here is a relaxed structure of HfTh2Ti from Alexandria via LeMat-Bulk. Energies are from PBE.

Summary:
The electronic total energy comes out at -7.934 eV per atom. The formation energy comes out at 0.24 eV per atom. The calculated density comes out at 10.95 g/cm³.

a b c (Å): 4.731 4.731 4.677
angles (deg): 90.00 90.00 90.00
Sites, in units of the cell vectors:
Hf 0.000 0.000 0.000
Th 0.000 0.500 0.500
Th 0.500 0.000 0.500
Ti 0.500 0.500 0.000



[7]
Here is a relaxed structure of HfThTi2 from Alexandria via LeMat-Bulk. Energies are from PBE.

Summary:
The electronic total energy comes out at -8.133 eV per atom. The formation energy comes out at 0.16 eV per atom. The calculated density comes out at 9.76 g/cm³.

a b c (Å): 4.853 4.853 3.656
angles (deg): 90.00 90.00 90.00
Sites, in units of the cell vectors:
Hf 0.000 0.000 0.000
Th 0.500 0.500 0.000
Ti 0.000 0.500 0.500
Ti 0.500 0.000 0.500



[8]
Here is a relaxed structure of HfThTi2 from Alexandria via LeMat-Bulk. Energies are from PBE.

Summary:
The electronic total energy comes out at -8.149 eV per atom. The formation energy comes out at 0.14 eV per atom. The calculated density comes out at 9.41 g/cm³.

a b c (Å): 3.638 3.638 6.747
angles (deg): 90.00 90.00 90.00
Sites, in units of the cell vectors:
Hf 0.000 0.000 0.000
Th 0.000 0.000 0.500
Ti 0.500 0.500 0.206
Ti 0.500 0.500 0.794